Entry 1:
This record from the Open Quantum Materials Database describes crystalline Lu2Hf4Sb3C3 at its relaxed geometry. The functional is GGA-PBE.

The calculation puts the magnetic moment at 0.00 μB per formula unit. As for the space-group type: No. 15. Its total energy is -195.4 eV for the cell shown.

Cell: 5.968 5.968 14.648 Å, 101.80 101.80 60.04°
Atoms (fractional coordinates):
Sb (0.940, 0.060, 0.750)
C (0.845, 0.328, 0.500)
Hf (0.801, 0.977, 0.417)
C (0.155, 0.672, 0.500)
Sb (0.585, 0.773, 0.751)
Lu (0.631, 0.469, 0.908)
Lu (0.531, 0.369, 0.592)
Sb (0.227, 0.415, 0.749)
Sb (0.415, 0.227, 0.249)
Hf (0.023, 0.199, 0.083)
C (0.000, 0.500, 0.000)
Lu (0.369, 0.531, 0.092)
Hf (0.856, 0.695, 0.583)
Hf (0.144, 0.305, 0.417)
Sb (0.773, 0.585, 0.251)
C (0.672, 0.155, 0.000)
C (0.328, 0.845, 0.000)
Hf (0.977, 0.801, 0.917)
C (0.500, 0.000, 0.500)
Sb (0.060, 0.940, 0.250)
Hf (0.305, 0.144, 0.917)
Lu (0.469, 0.631, 0.408)
Hf (0.695, 0.856, 0.083)
Hf (0.199, 0.023, 0.583)

***

Entry 2:
This record from the Open Quantum Materials Database describes crystalline Zr4B3 at its relaxed geometry. The functional is GGA-PBE.

The calculation puts the magnetic moment at 0.02 μB per formula unit. As for the space-group type: No. 176. Its total energy is -112.3 eV for the cell shown.

Cell: 8.702 8.702 3.254 Å, 90.00 90.00 60.00°
Atoms (fractional coordinates):
Zr (0.429, 0.857, 0.000)
B (0.724, 0.668, 0.500)
Zr (0.070, 0.110, 0.500)
Zr (0.454, 0.271, 0.000)
Zr (0.681, 0.963, 0.500)
B (0.201, 0.228, 0.000)
B (0.800, 0.713, 0.000)
B (0.285, 0.630, 0.000)
Zr (0.990, 0.882, 0.000)
Zr (0.842, 0.418, 0.000)
Zr (0.095, 0.524, 0.500)
Zr (0.534, 0.499, 0.500)
B (0.323, 0.152, 0.500)
B (0.239, 0.751, 0.500)

***

Entry 3:
This record from the Open Quantum Materials Database describes crystalline ScTaGa2 at its relaxed geometry. The functional is GGA-PBE.

The calculation puts the magnetic moment at 0.91 μB per formula unit. As for the space-group type: No. 216. Its total energy is -23.2 eV for the cell shown.

Cell: 4.664 4.664 4.664 Å, 60.00 60.00 60.00°
Atoms (fractional coordinates):
Ga (0.500, 0.500, 0.500)
Sc (0.000, 0.000, 0.000)
Ta (0.750, 0.750, 0.750)
Ga (0.250, 0.250, 0.250)

***

Entry 4:
This record from the Open Quantum Materials Database describes crystalline ZnIn2TeS3 at its relaxed geometry. The functional is GGA-PBE.

As for the space-group type: No. 1. Its total energy is -26.1 eV for the cell shown.

Cell: 5.726 5.739 6.897 Å, 112.11 112.08 91.80°
Atoms (fractional coordinates):
S (0.886, 0.871, 0.254)
S (0.632, 0.111, 0.768)
Te (0.136, 0.660, 0.715)
Zn (0.997, 0.014, 0.012)
S (0.355, 0.365, 0.254)
In (0.509, 0.497, 0.007)
In (0.734, 0.232, 0.491)